# 1
Ba2HoPbSe5: optimized geometry, GGA-PBE.

## Properties
formation energy from raw total energies	-1516	meV/atom

abc: 4.402 9.620 13.639
angles: 90.00 90.00 103.22
Positions (direct):
Ba 0.859 0.717 0.809
Ba 0.114 0.228 0.684
Ba 0.141 0.283 0.309
Ba 0.886 0.772 0.184
Ho 0.789 0.578 0.517
Ho 0.211 0.422 0.017
Pb 0.534 0.067 0.952
Pb 0.466 0.933 0.452
Se 0.360 0.720 0.999
Se 0.683 0.365 0.876
Se 0.489 0.977 0.758
Se 0.286 0.571 0.653
Se 0.944 0.888 0.576
Se 0.640 0.280 0.499
Se 0.317 0.635 0.376
Se 0.511 0.023 0.258
Se 0.714 0.429 0.153
Se 0.056 0.112 0.076

---

# 2
Ba2HoPbSe4: optimized geometry, GGA-PBE.

## Properties
formation energy from raw total energies	-1546	meV/atom

abc: 4.404 7.717 7.786
angles: 108.91 90.00 90.00
Positions (direct):
Ba 0.500 0.000 0.500
Ba 0.000 0.500 0.500
Ho 0.500 0.500 0.000
Pb 0.000 0.000 0.000
Se 0.500 0.256 0.221
Se 0.500 0.744 0.779
Se 0.000 0.274 0.786
Se 0.000 0.726 0.214

---

# 3
BaHoPd2: optimized geometry, GGA-PBE.

## Properties
energy relative to the elements	-14.5	kcal/mol of atoms
relative energy among the computed polymorphs	77	meV/atom

abc: 4.742 4.742 6.458
angles: 68.46 68.46 60.00
Positions (direct):
Ho 0.000 0.000 0.000
Pd 0.290 0.290 0.129
Pd 0.710 0.710 0.871
Ba 0.500 0.500 0.500

---

# 4
BaHoPd4: optimized geometry, GGA-PBE.

## Properties
energy relative to the elements	-13.4	kcal/mol of atoms

abc: 5.585 5.585 5.585
angles: 60.00 60.00 60.00
Positions (direct):
Ho 0.000 0.000 0.000
Pd 0.626 0.626 0.122
Pd 0.626 0.122 0.626
Pd 0.626 0.626 0.626
Pd 0.122 0.626 0.626
Ba 0.250 0.250 0.250

---

Q: What is the formula in the fourth record?
A: BaHoPd4